A relaxed structure of Ca2HoErS4. Source: the Alexandria database, functional PBE.

a b c (Å): 6.7848 3.9214 6.9001
angles (deg): 90.00 109.18 90.00
Space group P2/m (No. 10)
One atom of each set of equivalent atoms:
Ca1 0.0000 0.0000 0.0000 [1 per cell]
Ca2 0.5000 0.5000 0.0000 [1 per cell]
Ho1 0.0000 0.5000 0.5000 [1 per cell]
Er1 0.5000 0.0000 0.5000 [1 per cell]
S1 0.2487 0.0000 0.7427 [2 per cell]
S2 0.2533 0.5000 0.2579 [2 per cell]

ΔE_f (raw), eV/atom: -2.043
ρ, g/cm³: 5.177

A relaxed structure of RbSi2AgAu. Source: the Alexandria database, functional PBE.

a b c (Å): 5.6172 5.6172 5.4478
angles (deg): 90.00 90.00 90.00
Space group P4/mmm (No. 123)
One atom of each set of equivalent atoms:
Rb1 0.0000 0.0000 0.0000 [1 per cell]
Si1 0.0000 0.5000 0.0000 [2 per cell]
Ag1 0.0000 0.0000 0.5000 [1 per cell]
Au1 0.5000 0.5000 0.5000 [1 per cell]

ΔE_f (raw), eV/atom: 2.094
ρ, g/cm³: 4.313

A relaxed structure of HfTl2VTc. Source: the Alexandria database, functional PBE.

a b c (Å): 5.2566 5.2566 4.8344
angles (deg): 90.00 90.00 90.00
Space group P4/mmm (No. 123)
One atom of each set of equivalent atoms:
Hf1 0.0000 0.0000 0.0000 [1 per cell]
Tl1 0.0000 0.5000 0.5000 [2 per cell]
V1 0.5000 0.5000 0.0000 [1 per cell]
Tc1 0.0000 0.0000 0.5000 [1 per cell]

Formation enthalpy at 0 K, eV/atom: 1.2413
ρ, g/cm³: 9.152

A relaxed structure of Ba3RuO6F2. Source: the Alexandria database, functional PBE.

a b c (Å): 12.6006 7.2327 5.3783
angles (deg): 90.00 92.60 90.00
Space group C2/m (No. 12)
One atom of each set of equivalent atoms:
Ba1 0.0000 0.0000 0.0000 [2 per cell]
Ba2 0.2500 0.2500 0.5000 [4 per cell]
Ru1 0.0000 0.5000 0.5000 [2 per cell]
O1 0.0563 0.3105 0.2991 [8 per cell]
O2 0.1302 0.5000 0.6933 [4 per cell]
F1 0.1748 0.0000 0.7829 [4 per cell]

ΔE_f (raw), eV/atom: -1.986
ρ, g/cm³: 4.389

A relaxed structure of HfAlIr. Source: the Alexandria database, functional PBE.

a b c (Å): 3.0303 3.0303 10.9060
angles (deg): 90.00 90.00 90.00
Space group I4mm (No. 107)
One atom of each set of equivalent atoms:
Hf1 0.0000 0.0000 0.0000 [2 per cell]
Al1 0.0000 0.0000 0.6945 [2 per cell]
Ir1 0.0000 0.0000 0.3305 [2 per cell]

Formation enthalpy at 0 K, eV/atom: -0.7169
ρ, g/cm³: 13.189

A relaxed structure of Li5Ac3Al6. Source: the Alexandria database, functional PBE.

a b c (Å): 4.4618 10.9502 13.5937
angles (deg): 90.00 90.00 90.00
Space group Immm (No. 71)
One atom of each set of equivalent atoms:
Li1 0.0000 0.0000 0.0000 [2 per cell]
Li2 0.0000 0.1707 0.3221 [8 per cell]
Ac1 0.0000 0.5000 0.0000 [2 per cell]
Ac2 0.0000 0.5000 0.3026 [4 per cell]
Al1 0.0000 0.2167 0.1112 [8 per cell]
Al2 0.0000 0.3037 0.5000 [4 per cell]

Formation enthalpy at 0 K, eV/atom: -0.1690
ρ, g/cm³: 4.388